No. 1
Here is a geometry-optimized TiGeW2 structure from Alexandria. Energies are from PBE.

Output
Size of the total moment: 0.0000 μB/atom
Crystal system: tetragonal
E: -35.5 eV per formula unit
Formation energy from the elements: 2.89 eV per formula unit

a b c (Å): 7.5325 7.5325 5.8919
angles (deg): 50.27 50.27 90.00
Atoms (fractional coordinates):
Ge 0.0000 0.0000 0.0000
W 0.0769 0.6250 0.2500
Ti 0.2500 0.7500 0.5000
Ti 0.5000 0.5000 0.0000
W 0.6731 0.1250 0.2500
Ge 0.7500 0.2500 0.5000
W 0.8750 0.9231 0.7500
W 0.3750 0.3269 0.7500

No. 2
Here is a geometry-optimized TiGe3W structure from Alexandria. Energies are from PBE.

Output
Size of the total moment: 0.0664 μB/atom
Crystal system: cubic
E: -30.5 eV per formula unit
Formation energy from the elements: 4.22 eV per formula unit

a b c (Å): 4.8530 4.8530 4.8530
angles (deg): 90.00 90.00 90.00
Atoms (fractional coordinates):
Ge 0.0000 0.0000 0.5000
Ge 0.0000 0.5000 0.0000
W 0.0000 0.0000 0.0000
Ge 0.5000 0.0000 0.0000
Ti 0.5000 0.5000 0.5000

No. 3
Here is a geometry-optimized Ti4Ge2W structure from Alexandria. Energies are from PBE.

Output
Size of the total moment: 0.0001 μB/atom
Crystal system: trigonal
E: -54.6 eV per formula unit
Formation energy from the elements: -0.81 eV per formula unit

a b c (Å): 4.4427 4.4427 7.7830
angles (deg): 73.42 73.42 60.00
Atoms (fractional coordinates):
Ti 0.8732 0.8732 0.3804
Ti 0.7330 0.7330 0.8009
W 0.5000 0.5000 0.5000
Ti 0.2670 0.2670 0.1991
Ge 0.6149 0.6149 0.1552
Ge 0.3851 0.3851 0.8448
Ti 0.1268 0.1268 0.6196

No. 4
Here is a geometry-optimized TiGe2W2 structure from Alexandria. Energies are from PBE.

Output
Size of the total moment: 0.0000 μB/atom
Crystal system: tetragonal
E: -42.9 eV per formula unit
Formation energy from the elements: 0.18 eV per formula unit

a b c (Å): 6.8882 6.8882 3.3395
angles (deg): 90.00 90.00 90.00
Atoms (fractional coordinates):
W 0.1511 0.6511 0.5000
Ge 0.6450 0.1450 0.0000
W 0.6511 0.8489 0.5000
Ti 0.5000 0.5000 0.0000
Ge 0.1450 0.3550 0.0000
Ge 0.8550 0.6450 0.0000
W 0.3489 0.1511 0.5000
Ge 0.3550 0.8550 0.0000
Ti 0.0000 0.0000 0.0000
W 0.8489 0.3489 0.5000

No. 5
Here is a geometry-optimized Ti5Ge5W structure from Alexandria. Energies are from PBE.

Output
Size of the total moment: 0.0002 μB/atom
Crystal system: monoclinic
E: -76.6 eV per formula unit
Formation energy from the elements: -1.13 eV per formula unit

a b c (Å): 5.1171 6.2692 7.2588
angles (deg): 107.40 90.00 114.09
Atoms (fractional coordinates):
Ge 0.5000 0.0000 0.0000
Ti 0.3381 0.6761 0.1718
Ge 0.1680 0.3360 0.3351
Ge 0.8320 0.6640 0.6649
Ti 0.3274 0.6547 0.6682
Ge 0.8307 0.6613 0.1624
Ti 0.0000 0.0000 0.5000
W 0.0000 0.0000 0.0000
Ti 0.6726 0.3453 0.3318
Ge 0.1693 0.3387 0.8376
Ti 0.6619 0.3239 0.8282

No. 6
Here is a geometry-optimized Ti2Ge4W structure from Alexandria. Energies are from PBE.

Output
Size of the total moment: 0.1183 μB/atom
Crystal system: tetragonal
E: -44.9 eV per formula unit
Formation energy from the elements: 2.28 eV per formula unit

a b c (Å): 4.8172 4.8172 7.2375
angles (deg): 70.56 70.56 90.00
Atoms (fractional coordinates):
Ge 0.0000 0.5000 0.0000
Ti 0.5999 0.5999 0.8001
Ge 0.1996 0.1996 0.6008
Ge 0.8004 0.8004 0.3992
Ge 0.5000 0.0000 0.0000
Ti 0.4001 0.4001 0.1999
W 0.0000 0.0000 0.0000

No. 7
Here is a geometry-optimized TiGeW3 structure from Alexandria. Energies are from PBE.

Output
Size of the total moment: 0.0000 μB/atom
Crystal system: cubic
E: -44.0 eV per formula unit
Formation energy from the elements: 7.37 eV per formula unit

a b c (Å): 4.5912 4.5912 4.5912
angles (deg): 90.00 90.00 90.00
Atoms (fractional coordinates):
Ge 0.0000 0.0000 0.0000
Ti 0.5000 0.5000 0.5000
W 0.0000 0.0000 0.5000
W 0.0000 0.5000 0.0000
W 0.5000 0.0000 0.0000

No. 8
Here is a geometry-optimized TiGeW3 structure from Alexandria. Energies are from PBE.

Output
Size of the total moment: 0.0000 μB/atom
Crystal system: cubic
E: -41.4 eV per formula unit
Formation energy from the elements: 9.97 eV per formula unit

a b c (Å): 4.6117 4.6117 4.6117
angles (deg): 90.00 90.00 90.00
Atoms (fractional coordinates):
Ti 0.0000 0.0000 0.0000
W 0.5000 0.0000 0.0000
Ge 0.5000 0.5000 0.5000
W 0.0000 0.0000 0.5000
W 0.0000 0.5000 0.0000

No. 9
Here is a geometry-optimized TiZn2GeW structure from Alexandria. Energies are from PBE.

Output
Size of the total moment: 0.6405 μB/atom
Crystal system: tetragonal
E: -20.6 eV per formula unit
Formation energy from the elements: 7.40 eV per formula unit

a b c (Å): 4.6796 4.6967 4.6796
angles (deg): 90.00 90.00 90.00
Atoms (fractional coordinates):
W 0.5000 0.5000 0.5000
Zn 0.5000 0.0000 0.0000
Ge 0.0000 0.5000 0.0000
Zn 0.0000 0.0000 0.5000
Ti 0.0000 0.0000 0.0000

No. 10
Here is a geometry-optimized ZrTi2GeW structure from Alexandria. Energies are from PBE.

Output
Size of the total moment: 0.0000 μB/atom
Crystal system: tetragonal
E: -37.9 eV per formula unit
Formation energy from the elements: 4.04 eV per formula unit

a b c (Å): 4.5930 4.9550 4.5930
angles (deg): 90.00 90.00 90.00
Atoms (fractional coordinates):
Ti 0.5000 0.0000 0.0000
Ti 0.0000 0.0000 0.5000
Zr 0.0000 0.5000 0.0000
W 0.5000 0.5000 0.5000
Ge 0.0000 0.0000 0.0000

No. 11
Here is a geometry-optimized YTiGe2 structure from Alexandria. Energies are from PBE.

Output
Size of the total moment: 0.0000 μB/atom
Crystal system: tetragonal
E: -23.9 eV per formula unit
Formation energy from the elements: -0.32 eV per formula unit

a b c (Å): 4.7193 4.7193 9.3051
angles (deg): 75.31 75.31 90.00
Atoms (fractional coordinates):
Ge 0.8750 0.7451 0.7500
Ge 0.2549 0.6250 0.2500
Y 0.0000 0.0000 0.0000
Ti 0.2500 0.7500 0.5000
Y 0.7500 0.2500 0.5000
Ti 0.5000 0.5000 0.0000
Ge 0.4951 0.1250 0.2500
Ge 0.3750 0.5049 0.7500

No. 12
Here is a geometry-optimized YTiGe3 structure from Alexandria. Energies are from PBE.

Output
Size of the total moment: 0.0000 μB/atom
Crystal system: cubic
E: -29.0 eV per formula unit
Formation energy from the elements: -0.76 eV per formula unit

a b c (Å): 4.8497 4.8497 4.8497
angles (deg): 90.00 90.00 90.00
Atoms (fractional coordinates):
Ge 0.0000 0.0000 0.5000
Ti 0.0000 0.0000 0.0000
Y 0.5000 0.5000 0.5000
Ge 0.5000 0.0000 0.0000
Ge 0.0000 0.5000 0.0000